{"formula": "TbSm3Tl3", "functional": "PBE-GGA", "state": "optimized geometry", "total_energy_ev_per_atom": -3.97, "de_polymorph_mev_per_atom": 0, "formation_energy_ev_per_atom": -0.272, "lattice_angstrom": [[9.480, 0.000, 0.000], [0.000, 9.480, 0.000], [0.000, 0.000, 9.480]], "species": ["Tb", "Tb", "Tb", "Tb", "Sm", "Sm", "Sm", "Sm", "Sm", "Sm", "Sm", "Sm", "Sm", "Sm", "Sm", "Sm", "Tl", "Tl", "Tl", "Tl", "Tl", "Tl", "Tl", "Tl", "Tl", "Tl", "Tl", "Tl"], "frac_coords": [[0.073, 0.573, 0.927], [0.927, 0.073, 0.573], [0.427, 0.427, 0.427], [0.573, 0.927, 0.073], [0.825, 0.325, 0.175], [0.928, 0.928, 0.928], [0.824, 0.676, 0.324], [0.175, 0.825, 0.325], [0.176, 0.176, 0.176], [0.324, 0.824, 0.676], [0.072, 0.428, 0.572], [0.325, 0.175, 0.825], [0.676, 0.324, 0.824], [0.675, 0.675, 0.675], [0.572, 0.072, 0.428], [0.428, 0.572, 0.072], [0.752, 0.629, 0.000], [0.871, 0.000, 0.252], [0.000, 0.752, 0.629], [0.129, 0.500, 0.248], [0.248, 0.129, 0.500], [0.252, 0.871, 0.000], [0.000, 0.252, 0.871], [0.371, 0.500, 0.748], [0.500, 0.248, 0.129], [0.629, 0.000, 0.752], [0.748, 0.371, 0.500], [0.500, 0.748, 0.371]]}